No. 1
VASP calculation (PBE-GGA) on a relaxed structure of RbP2OsCl.

Properties
Its space group is P4/mmm (123). As for the formation energy from raw total energies: -0.145 eV per atom. As for the total energy: -25.59 eV for the cell shown.

a b c (Å): 4.5235 4.5235 6.0954
angles (deg): 90.00 90.00 90.00
Fractional positions:
P1 0.0000 0.5000 0.0000
P2 0.5000 0.0000 0.0000
Os1 0.0000 0.0000 0.0000
Rb1 0.5000 0.5000 0.5000
Cl1 0.0000 0.0000 0.5000

---

No. 2
VASP calculation (PBE-GGA) on a relaxed structure of POsRhCl2.

Properties
Its space group is P4/mmm (123). As for the formation energy from raw total energies: 1.220 eV per atom. As for the total energy: -21.58 eV for the cell shown.

a b c (Å): 4.7355 4.7355 4.6456
angles (deg): 90.00 90.00 90.00
Each line ends with the local moment (μB).
Fractional positions:
Rh1 0.0000 0.0000 0.0000  -0.02
Os1 0.5000 0.5000 0.5000  3.18
P1 0.0000 0.0000 0.5000  -0.07
Cl1 0.0000 0.5000 0.0000  0.10
Cl2 0.5000 0.0000 0.0000  0.10

---

No. 3
VASP calculation (PBE-GGA) on a relaxed structure of POsRhCl2.

Properties
Its space group is P4/mmm (123). As for the formation energy from raw total energies: 0.953 eV per atom. As for the total energy: -22.92 eV for the cell shown.

a b c (Å): 4.8683 4.8683 4.4808
angles (deg): 90.00 90.00 90.00
Each line ends with the local moment (μB).
Fractional positions:
Rh1 0.5000 0.5000 0.5000  1.35
Os1 0.0000 0.0000 0.0000  0.02
P1 0.0000 0.0000 0.5000  0.02
Cl1 0.0000 0.5000 0.0000  0.06
Cl2 0.5000 0.0000 0.0000  0.06

---

No. 4
VASP calculation (PBE-GGA) on a relaxed structure of P2OsRhCl.

Properties
Its space group is P4/mmm (123). As for the formation energy from raw total energies: 1.286 eV per atom. As for the total energy: -24.82 eV for the cell shown.

a b c (Å): 4.5615 4.5615 4.6355
angles (deg): 90.00 90.00 90.00
Each line ends with the local moment (μB).
Fractional positions:
Rh1 0.0000 0.0000 0.0000  -0.06
Os1 0.5000 0.5000 0.5000  2.28
P1 0.0000 0.5000 0.0000  -0.08
P2 0.5000 0.0000 0.0000  -0.08
Cl1 0.0000 0.0000 0.5000  0.10

---

No. 5
VASP calculation (PBE-GGA) on a relaxed structure of P2OsRhCl.

Properties
Its space group is P4/mmm (123). As for the formation energy from raw total energies: 0.911 eV per atom. As for the total energy: -26.69 eV for the cell shown.

a b c (Å): 4.4906 4.4906 4.9681
angles (deg): 90.00 90.00 90.00
Each line ends with the local moment (μB).
Fractional positions:
Rh1 0.5000 0.5000 0.5000  0.79
Os1 0.0000 0.0000 0.0000  -0.08
P1 0.0000 0.5000 0.0000  0.01
P2 0.5000 0.0000 0.0000  0.01
Cl1 0.0000 0.0000 0.5000  0.06

---

No. 6
VASP calculation (PBE-GGA) on a relaxed structure of POsSCl2.

Properties
Its space group is P4/mmm (123). As for the formation energy from raw total energies: 1.571 eV per atom. As for the total energy: -16.60 eV for the cell shown.

a b c (Å): 4.3823 4.3823 5.3652
angles (deg): 90.00 90.00 90.00
Each line ends with the local moment (μB).
Fractional positions:
P1 0.0000 0.0000 0.5000  -0.04
S1 0.0000 0.0000 0.0000  -0.01
Os1 0.5000 0.5000 0.5000  2.70
Cl1 0.0000 0.5000 0.0000  0.05
Cl2 0.5000 0.0000 0.0000  0.05

---

No. 7
VASP calculation (PBE-GGA) on a relaxed structure of POsS2Cl.

Properties
Its space group is P4/mmm (123). As for the formation energy from raw total energies: 0.813 eV per atom. As for the total energy: -22.68 eV for the cell shown.

a b c (Å): 4.5588 4.5588 4.7747
angles (deg): 90.00 90.00 90.00
Fractional positions:
P1 0.5000 0.5000 0.5000
S1 0.0000 0.5000 0.0000
S2 0.5000 0.0000 0.0000
Os1 0.0000 0.0000 0.0000
Cl1 0.0000 0.0000 0.5000

---

No. 8
VASP calculation (PBE-GGA) on a relaxed structure of POsSCl2.

Properties
Its space group is P4/mmm (123). As for the formation energy from raw total energies: 0.762 eV per atom. As for the total energy: -20.65 eV for the cell shown.

a b c (Å): 4.9630 4.9630 4.4284
angles (deg): 90.00 90.00 90.00
Each line ends with the local moment (μB).
Fractional positions:
P1 0.5000 0.5000 0.5000  0.99
S1 0.0000 0.0000 0.5000  0.00
Os1 0.0000 0.0000 0.0000  -0.09
Cl1 0.0000 0.5000 0.0000  0.02
Cl2 0.5000 0.0000 0.0000  0.02

---

No. 9
VASP calculation (PBE-GGA) on a relaxed structure of POsS2Cl.

Properties
Its space group is P4/mmm (123). As for the formation energy from raw total energies: 1.988 eV per atom. As for the total energy: -16.80 eV for the cell shown.

a b c (Å): 4.4201 4.4201 4.4175
angles (deg): 90.00 90.00 90.00
Fractional positions:
P1 0.0000 0.0000 0.5000
S1 0.0000 0.5000 0.0000
S2 0.5000 0.0000 0.0000
Os1 0.5000 0.5000 0.5000
Cl1 0.0000 0.0000 0.0000

---

No. 10
VASP calculation (PBE-GGA) on a relaxed structure of POsSCl2.

Properties
Its space group is P4/mmm (123). As for the formation energy from raw total energies: 1.298 eV per atom. As for the total energy: -17.97 eV for the cell shown.

a b c (Å): 4.6338 4.6338 4.8340
angles (deg): 90.00 90.00 90.00
Each line ends with the local moment (μB).
Fractional positions:
P1 0.0000 0.0000 0.0000  0.02
S1 0.0000 0.0000 0.5000  0.05
Os1 0.5000 0.5000 0.5000  3.23
Cl1 0.0000 0.5000 0.0000  0.07
Cl2 0.5000 0.0000 0.0000  0.07

---

No. 11
VASP calculation (PBE-GGA) on a relaxed structure of POsS2Cl.

Properties
Its space group is P4/mmm (123). As for the formation energy from raw total energies: 0.573 eV per atom. As for the total energy: -23.88 eV for the cell shown.

a b c (Å): 4.5698 4.5698 4.7571
angles (deg): 90.00 90.00 90.00
Fractional positions:
P1 0.0000 0.0000 0.5000
S1 0.0000 0.5000 0.0000
S2 0.5000 0.0000 0.0000
Os1 0.0000 0.0000 0.0000
Cl1 0.5000 0.5000 0.5000

---

No. 12
VASP calculation (PBE-GGA) on a relaxed structure of POsS2Cl.

Properties
Its space group is P4/mmm (123). As for the formation energy from raw total energies: 1.342 eV per atom. As for the total energy: -20.03 eV for the cell shown.

a b c (Å): 4.5921 4.5921 4.4900
angles (deg): 90.00 90.00 90.00
Each line ends with the local moment (μB).
Fractional positions:
P1 0.0000 0.0000 0.0000  0.04
S1 0.0000 0.5000 0.0000  0.13
S2 0.5000 0.0000 0.0000  0.13
Os1 0.5000 0.5000 0.5000  3.16
Cl1 0.0000 0.0000 0.5000  0.10

---

What did we get for E above lowest polymorph? Answer: 0 267 0 375 0 845 240 36 1415 572 0 769 meV/atom, in the order shown.
What did we get for Fermi-level density of states? Answer: 2.4 3.3 8.7 2.7 4.5 6.7 4.2 3.6 3.9 5.7 5.2 5.8 states/eV per cell, in the order shown.